[1]
Computed, not measured: a relaxed K5Pa2Cl12 crystal at the PBE level of DFT.

a b c (Å): 8.4238 8.7006 11.0946
angles (deg): 106.86 112.31 90.00
Each line ends with the local moment (μB).
Fractional positions:
Cl (0.5253, 0.2653, 0.5396)  0.00
Cl (0.4747, 0.7347, 0.4604)  0.00
Cl (0.0143, 0.2653, 0.5396)  0.00
Cl (0.6851, 0.6873, 0.8753)  -0.02
Cl (0.9857, 0.7347, 0.4604)  0.00
Cl (0.8097, 0.3127, 0.1247)  -0.02
Cl (0.3149, 0.3127, 0.1247)  -0.02
Cl (0.5832, 0.9621, 0.1664)  -0.02
Cl (0.1903, 0.6873, 0.8753)  -0.02
Cl (0.4168, 0.0379, 0.8336)  -0.02
Cl (0.9226, 0.0520, 0.8452)  -0.02
Cl (0.0774, 0.9480, 0.1548)  -0.02
Pa (0.7436, 0.0000, 0.0000)  1.44
Pa (0.2564, 0.0000, 0.0000)  1.44
K (0.0000, 0.5000, 0.0000)  0.00
K (0.2802, 0.5278, 0.5605)  0.00
K (0.7523, 0.9950, 0.5046)  0.00
K (0.2477, 0.0050, 0.4954)  0.00
K (0.7198, 0.4722, 0.4395)  0.00

Calculated values
formation energy from raw total energies: -1.833 eV/atom
symmetry: C2/m, No. 12



[2]
Computed, not measured: a relaxed VPb4 crystal at the PBE level of DFT.

a b c (Å): 5.3623 5.3623 5.3623
angles (deg): 90.00 90.00 90.00
Each line ends with the local moment (μB).
Fractional positions:
Pb (0.0000, 0.5000, 0.5000)  -0.01
Pb (0.5000, 0.0000, 0.5000)  -0.01
Pb (0.0000, 0.0000, 0.0000)  0.04
Pb (0.5000, 0.5000, 0.0000)  -0.01
V (0.5000, 0.5000, 0.5000)  1.15

Calculated values
electronic total energy: -4.40 eV/atom
symmetry: Pm-3m, No. 221